1.
First-principles (PBE) data for an optimized crystal structure of NaScC, as listed in the Alexandria database.

Lattice parameters (Å, degrees): 5.8660 5.8660 7.8865 90.00 90.00 120.00
Space group P6_3/mmc (No. 194)
Asymmetric unit:
Na (0.3333, 0.6667, 0.2500)
Sc (0.0000, 0.0000, 0.2500)
C (0.0000, 0.0000, 0.0000)

## Properties
crystal system: hexagonal
ΔH_f (0 K): 4.29 eV/f.u.

2.
First-principles (PBE) data for an optimized crystal structure of TiNbReAu, as listed in the Alexandria database.

Lattice parameters (Å, degrees): 6.450 6.450 6.450 90.00 90.00 90.00
Space group F-43m (No. 216)
Asymmetric unit:
Ti (0.000, 0.000, 0.000)
Nb (0.000, 0.000, 0.500)
Re (0.250, 0.250, 0.750)
Au (0.250, 0.250, 0.250)

## Properties
crystal system: cubic
ΔH_f (0 K): -0.54 eV/f.u.

3.
First-principles (PBE) data for an optimized crystal structure of CaSb2Au, as listed in the Alexandria database.

Lattice parameters (Å, degrees): 7.439 7.439 7.439 90.00 90.00 90.00
Space group F-43m (No. 216)
Asymmetric unit:
Ca (0.000, 0.000, 0.000)
Sb (0.000, 0.000, 0.500)
Sb (0.250, 0.250, 0.750)
Au (0.250, 0.250, 0.250)

## Properties
crystal system: cubic
uncorrected formation energy: -0.31 eV per atom

4.
First-principles (PBE) data for an optimized crystal structure of Ti4HPb2, as listed in the Alexandria database.

Lattice parameters (Å, degrees): 4.114 4.114 14.444 90.00 90.00 90.00
Space group I4/mmm (No. 139)
Asymmetric unit:
Ti (0.000, 0.000, 0.150)
Ti (0.000, 0.500, 0.000)
H (0.000, 0.000, 0.000)
Pb (0.000, 0.000, 0.350)

## Properties
crystal system: tetragonal

5.
First-principles (PBE) data for an optimized crystal structure of CoIr2Se, as listed in the Alexandria database.

Lattice parameters (Å, degrees): 8.713 2.844 4.866 90.00 104.63 90.00
Space group Cm (No. 8)
Asymmetric unit:
Co (0.000, 0.000, 0.000)
Ir (0.244, 0.000, 0.777)
Ir (0.484, 0.000, 0.526)
Se (0.245, 0.500, 0.214)

## Properties
crystal system: monoclinic
uncorrected formation energy: 0.38 eV per atom

6.
First-principles (PBE) data for an optimized crystal structure of MnNb2HW, as listed in the Alexandria database.

Lattice parameters (Å, degrees): 4.458 4.458 3.318 90.00 90.00 90.00
Space group P4/mmm (No. 123)
Asymmetric unit:
Mn (0.000, 0.000, 0.000)
Nb (0.000, 0.500, 0.500)
H (0.000, 0.000, 0.500)
W (0.500, 0.500, 0.000)

## Properties
crystal system: tetragonal

7.
First-principles (PBE) data for an optimized crystal structure of Tl2Ag2S5, as listed in the Alexandria database.

Lattice parameters (Å, degrees): 17.039 3.773 16.513 90.00 90.00 90.00
Space group Ima2 (No. 46)
Asymmetric unit:
Tl (0.000, 0.000, 0.000)
Tl (0.250, 0.002, 0.988)
Ag (0.153, 0.001, 0.184)
S (0.062, 0.000, 0.633)
S (0.191, 0.502, 0.841)
S (0.250, 0.501, 0.139)

## Properties
crystal system: orthorhombic
uncorrected formation energy: 0.02 eV per atom

8.
First-principles (PBE) data for an optimized crystal structure of RbCr, as listed in the Alexandria database.

Lattice parameters (Å, degrees): 8.574 8.574 8.574 90.00 90.00 90.00
Space group F-43m (No. 216)
Asymmetric unit:
Rb (0.000, 0.000, 0.000)
Cr (0.250, 0.250, 0.250)

## Properties
crystal system: cubic
ΔH_f (0 K): 3.19 eV/f.u.

9.
First-principles (PBE) data for an optimized crystal structure of UNbGa2, as listed in the Alexandria database.

Lattice parameters (Å, degrees): 2.9588 2.9588 29.4656 90.00 90.00 120.00
Space group R-3m (No. 166, hexagonal axes)
Asymmetric unit:
U (0.0000, 0.0000, 0.0000)
Nb (0.0000, 0.0000, 0.5000)
Ga (0.0000, 0.0000, 0.2439)

## Properties
crystal system: trigonal
ΔH_f (0 K): -0.42 eV/f.u.

10.
First-principles (PBE) data for an optimized crystal structure of SnP3Au, as listed in the Alexandria database.

Lattice parameters (Å, degrees): 4.879 4.879 4.879 90.00 90.00 90.00
Space group Pm-3m (No. 221)
Asymmetric unit:
Sn (0.000, 0.000, 0.000)
P (0.000, 0.500, 0.500)
Au (0.500, 0.500, 0.500)

## Properties
crystal system: cubic
ΔH_f (0 K): 4.68 eV/f.u.

11.
First-principles (PBE) data for an optimized crystal structure of RbNa2BeAs2, as listed in the Alexandria database.

Lattice parameters (Å, degrees): 8.763 11.153 6.330 90.00 90.00 90.00
Space group Ibam (No. 72)
Asymmetric unit:
Rb (0.000, 0.000, 0.250)
Na (0.158, 0.318, 0.000)
Be (0.000, 0.500, 0.250)
As (0.160, 0.402, 0.500)

## Properties
crystal system: orthorhombic
ΔH_f (0 K): -1.38 eV/f.u.

12.
First-principles (PBE) data for an optimized crystal structure of LaIn2Re, as listed in the Alexandria database.

Lattice parameters (Å, degrees): 3.552 3.552 7.703 90.00 90.00 90.00
Space group P4mm (No. 99)
Asymmetric unit:
La (0.000, 0.000, 0.000)
In (0.000, 0.000, 0.414)
In (0.500, 0.500, 0.660)
Re (0.500, 0.500, 0.246)

## Properties
crystal system: tetragonal
ΔH_f (0 K): 0.96 eV/f.u.

no.,total DFT energy (no corrections) (eV/atom)
1,-4.194
2,-8.557
3,-3.686
4,-6.180
5,-6.696
6,-9.154
7,-3.437
8,-3.699
9,-6.957
10,-3.766
11,-3.002
12,-5.472